Here is an optimized crystal structure of K2SbRhF from Alexandria. Energies are from PBE.

Cell lengths 6.1751, 6.1751, 4.8931 Å; angles 90.00, 90.00, 90.00 degrees
With the nearest neighbours (Å) after each atom.
Space group P4/mmm (No. 123)
Unique sites:
1 K 0.0000 0.5000 0.0000 (multiplicity 2)  2 Rh 3.09
2 Sb 0.0000 0.0000 0.5000 (multiplicity 1)  2 Rh 2.45
3 Rh 0.0000 0.0000 0.0000 (multiplicity 1)  2 Sb 2.45
4 F 0.5000 0.5000 0.5000 (multiplicity 1)  8 K 3.94, 4 Sb 4.37

Properties
Calculated total energy ... -18.16 eV for the cell shown
DOS(E_F) ... 2.8 states/eV/f.u.
Total moment ... 0.000 μB/atom
Formation energy (no corrections) ... -523.9 meV/atom